Record 1
Hf5Zr5Sb6 | GGA-PBE | relaxed

Its raw formation energy is -0.558 eV per atom.

The structure belongs to space group Amm2 (No. 38); the cell edges are 5.749, 14.411 and 8.600 Å and the angles 90.00°, 90.00° and 90.00°. Symmetry generates all atoms from Hf at (0.000, 0.000, 0.000), Hf at (0.250, 0.168, 0.239), Zr at (0.000, 0.119, 0.620), Zr at (0.500, 0.000, 0.473), Zr at (0.500, 0.122, 0.861), Sb at (0.000, 0.000, 0.348), Sb at (0.000, 0.195, 0.936), Sb at (0.500, 0.000, 0.127) and Sb at (0.500, 0.194, 0.543).

=====

Record 2
Hf2ZrSb | GGA-PBE | relaxed

Its raw formation energy is -0.149 eV per atom.

The structure belongs to space group Amm2 (No. 38); the cell edges are 9.552, 3.444 and 5.594 Å and the angles 90.00°, 90.00° and 90.00°. Symmetry generates all atoms from Hf at (0.243, 0.000, 0.000), Zr at (0.500, 0.000, 0.364) and Sb at (0.000, 0.000, 0.652).

=====

Record 3
Hf2ZrSb | GGA-PBE | relaxed

Its raw formation energy is 0.215 eV per atom.

The structure belongs to space group I-42d (No. 122); the cell edges are 8.240, 8.240 and 5.783 Å and the angles 90.00°, 90.00° and 90.00°. Symmetry generates all atoms from Hf at (0.222, 0.250, 0.125), Zr at (0.000, 0.000, 0.500) and Sb at (0.000, 0.000, 0.000).

=====

Record 4
HfSc | GGA-PBE | relaxed

For the formation enthalpy at 0 K, the calculation gives 0.311 eV per atom.

The structure belongs to space group P6_3/m (No. 176); the cell edges are 10.6634, 10.6634 and 3.0889 Å and the angles 90.00°, 90.00° and 120.00°. Symmetry generates all atoms from Hf at (0.1319, 0.6089, 0.2500) and Sc at (0.0583, 0.2978, 0.2500).

=====

Record 5
Hf13Sc3 | GGA-PBE | relaxed

For the formation enthalpy at 0 K, the calculation gives 0.072 eV per atom.

The structure belongs to space group Amm2 (No. 38); the cell edges are 8.957, 9.004 and 8.974 Å and the angles 90.00°, 90.00° and 90.00°. Symmetry generates all atoms from Hf at (0.000, 0.000, 0.000), Hf at (0.000, 0.000, 0.505), Hf at (0.000, 0.247, 0.754), Hf at (0.249, 0.000, 0.753), Hf at (0.249, 0.247, 0.503), Hf at (0.500, 0.000, 0.509), Hf at (0.500, 0.243, 0.755), Sc at (0.248, 0.000, 0.255) and Sc at (0.500, 0.000, 0.000).

=====

Record 6
Hf5Sc3 | GGA-PBE | relaxed

For the formation enthalpy at 0 K, the calculation gives -0.006 eV per atom.

The structure belongs to space group Pmm2 (No. 25); the cell edges are 3.214, 5.068 and 11.271 Å and the angles 90.00°, 90.00° and 90.00°. Symmetry generates all atoms from Hf at (0.000, 0.000, 0.000), Hf at (0.000, 0.000, 0.486), Hf at (0.000, 0.500, 0.325), Hf at (0.500, 0.000, 0.243), Hf at (0.500, 0.500, 0.081), Sc at (0.000, 0.500, 0.836), Sc at (0.500, 0.000, 0.741) and Sc at (0.500, 0.500, 0.573).

=====

Record 7
Hf2Sc3 | GGA-PBE | relaxed

The energy relative to the lowest polymorph listed for this composition comes out at 0 meV per atom. For the formation enthalpy at 0 K, the calculation gives 0.012 eV per atom.

The structure belongs to space group C2/c (No. 15); the cell edges are 10.621, 5.665 and 8.257 Å and the angles 90.00°, 110.36° and 90.00°. Symmetry generates all atoms from Hf at (0.099, 0.166, 0.448), Sc at (0.000, 0.334, 0.750) and Sc at (0.197, 0.335, 0.150).

=====

Record 8
HfSc | GGA-PBE | relaxed

For the formation enthalpy at 0 K, the calculation gives 0.640 eV per atom.

The structure belongs to space group P4_2/mnm (No. 136); the cell edges are 5.698, 5.698 and 5.991 Å and the angles 90.00°, 90.00° and 90.00°. Symmetry generates all atoms from Hf at (0.174, 0.174, 0.000) and Sc at (0.178, 0.178, 0.500).

=====

no.,raw total energy (eV per cell),D(E_F) (states/eV/f.u.)
1,-252.3,14.68
2,-66.3,2.93
3,-126.9,4.31
4,-94.0,2.78
5,-294.5,24.32
6,-68.8,8.66
7,-155.4,8.28
8,-60.0,2.32